(1)
DFT (PBE) results for crystalline CdTcAgF2 at its relaxed geometry.

Summary:
- volume (Å³ per atom) = 18.8
- DOS(E_F) (states/eV/cell) = 3.54
- formation energy (no corrections) (kJ/mol of formula units) = -288
- E_tot (eV/atom) = -4.17
- calculated density (g/cm3) = 6.3

Lattice parameters (Å, degrees): 4.062 4.062 5.701 90.00 90.00 90.00
Fractional positions:
Cd (0.000, 0.000, 0.000)
Tc (0.500, 0.500, 0.500)
Ag (0.500, 0.500, 0.000)
F (0.000, 0.500, 0.500)
F (0.500, 0.000, 0.500)



(2)
DFT (PBE) results for crystalline Tl2CdAg2F6 at its relaxed geometry.

Summary:
- volume (Å³ per atom) = 19.0
- DOS(E_F) (states/eV/cell) = 0.00
- formation energy (no corrections) (kJ/mol of formula units) = -1684
- E_tot (eV/atom) = -3.64
- calculated density (g/cm3) = 6.8

Lattice parameters (Å, degrees): 6.698 6.698 6.849 118.61 118.61 53.81
Fractional positions:
Tl (0.237, 0.237, 0.289)
Tl (0.763, 0.763, 0.711)
Cd (0.000, 0.000, 0.500)
Ag (0.416, 0.416, 0.094)
Ag (0.584, 0.584, 0.906)
F (0.175, 0.672, 0.651)
F (0.207, 0.207, 0.812)
F (0.328, 0.825, 0.349)
F (0.672, 0.175, 0.651)
F (0.793, 0.793, 0.188)
F (0.825, 0.328, 0.349)



(3)
DFT (PBE) results for crystalline TlCdAg2F8 at its relaxed geometry.

Summary:
- volume (Å³ per atom) = 14.2
- DOS(E_F) (states/eV/cell) = 11.57
- formation energy (no corrections) (kJ/mol of formula units) = -1828
- E_tot (eV/atom) = -3.57
- calculated density (g/cm3) = 6.7

Lattice parameters (Å, degrees): 6.769 6.769 6.769 131.53 131.53 70.98
Fractional positions:
Tl (0.000, 0.000, 0.000)
Cd (0.250, 0.750, 0.500)
Ag (0.500, 0.500, 0.000)
Ag (0.750, 0.250, 0.500)
F (0.122, 0.113, 0.482)
F (0.122, 0.641, 0.009)
F (0.359, 0.368, 0.482)
F (0.359, 0.878, 0.991)
F (0.632, 0.113, 0.991)
F (0.632, 0.641, 0.518)
F (0.887, 0.368, 0.009)
F (0.887, 0.878, 0.518)



(4)
DFT (PBE) results for crystalline Tl3Cd2AgF9 at its relaxed geometry.

Summary:
- volume (Å³ per atom) = 18.0
- DOS(E_F) (states/eV/cell) = 2.91
- formation energy (no corrections) (kJ/mol of formula units) = -2627
- E_tot (eV/atom) = -3.72
- calculated density (g/cm3) = 6.9

Lattice parameters (Å, degrees): 6.333 6.333 7.772 90.00 90.00 120.00
Fractional positions:
Tl (0.000, 0.000, 0.000)
Tl (0.333, 0.667, 0.652)
Tl (0.667, 0.333, 0.348)
Cd (0.333, 0.667, 0.165)
Cd (0.667, 0.333, 0.835)
Ag (0.000, 0.000, 0.500)
F (0.000, 0.500, 0.000)
F (0.169, 0.338, 0.336)
F (0.169, 0.831, 0.336)
F (0.338, 0.169, 0.664)
F (0.500, 0.000, 0.000)
F (0.500, 0.500, 0.000)
F (0.662, 0.831, 0.336)
F (0.831, 0.169, 0.664)
F (0.831, 0.662, 0.664)